(1)
Compound: Ce2ErPaSb4
Source: Alexandria via LeMat-Bulk
Functional: GGA-PBE
Structure: relaxed

Geometry as extended XYZ:
```
8
Lattice="7.667 0.000 0.000 0.000 4.430 0.000 -2.557 0.000 7.247" Properties=species:S:1:pos:R:3 pbc="T T T"
Ce 0.000 0.000 0.000
Ce 3.834 2.215 0.000
Er -1.278 2.215 3.623
Pa 2.555 0.000 3.623
Sb -0.003 0.000 5.365
Sb 1.267 2.215 1.877
Sb 3.843 2.215 5.370
Sb 5.113 0.000 1.882
```

* formation energy from raw total energies: -698 kJ/mol of formula units
* N(E_F): 18.66 states/eV/f.u.

(2)
Compound: GdLuAgPt
Source: Alexandria via LeMat-Bulk
Functional: GGA-PBE
Structure: relaxed

Geometry as extended XYZ:
```
16
Lattice="7.069 0.000 0.000 0.000 7.069 0.000 0.000 0.000 7.069" Properties=species:S:1:pos:R:3 pbc="T T T"
Gd 0.000 0.000 0.000
Gd 0.000 3.535 3.535
Gd 3.535 0.000 3.535
Gd 3.535 3.535 0.000
Lu 0.000 0.000 3.535
Lu 0.000 3.535 0.000
Lu 3.535 0.000 0.000
Lu 3.535 3.535 3.535
Ag 1.767 1.767 5.302
Ag 1.767 5.302 1.767
Ag 5.302 1.767 1.767
Ag 5.302 5.302 5.302
Pt 1.767 1.767 1.767
Pt 1.767 5.302 5.302
Pt 5.302 1.767 5.302
Pt 5.302 5.302 1.767
```

* DFT formation energy: -75.6 kJ per mole of atoms
* N(E_F): 2.73 states/eV/f.u.

(3)
Compound: K4Au3Br12
Source: Alexandria via LeMat-Bulk
Functional: GGA-PBE
Structure: relaxed

Geometry as extended XYZ:
```
19
Lattice="-5.843 5.843 5.843 5.843 -5.843 5.843 5.843 5.843 -5.843" Properties=species:S:1:pos:R:3 pbc="T T T"
K 2.921 2.921 -2.921
K 2.921 -2.921 2.921
K -2.921 2.921 2.921
K 2.921 2.921 2.921
Au 5.843 0.000 0.000
Au 0.000 5.843 0.000
Au 0.000 0.000 5.843
Br 4.058 1.771 0.000
Br 7.628 1.771 0.000
Br 5.843 -1.785 4.072
Br 4.072 5.843 -1.785
Br 1.771 0.000 4.058
Br 0.000 4.058 1.771
Br 5.843 1.785 4.072
Br 4.072 5.843 1.785
Br 1.771 0.000 7.628
Br 0.000 7.628 1.771
Br -1.785 4.072 5.843
Br 1.785 4.072 5.843
```

* formation energy from raw total energies: -1478 kJ/mol of formula units
* N(E_F): 9.31 states/eV/f.u.

(4)
Compound: CrFeOs2
Source: Alexandria via LeMat-Bulk
Functional: GGA-PBE
Structure: relaxed

Geometry as extended XYZ:
```
12
Lattice="2.669 0.000 0.000 -1.334 2.311 0.000 0.000 0.000 25.545" Properties=species:S:1:pos:R:3 pbc="T T T"
Cr 0.000 0.000 0.000
Cr 0.000 1.541 17.030
Cr 1.334 0.770 8.515
Fe 0.000 0.000 19.050
Fe 0.000 1.541 10.535
Fe 1.334 0.770 2.020
Os 0.000 0.000 6.423
Os 0.000 0.000 12.611
Os 0.000 1.541 4.096
Os 0.000 1.541 23.453
Os 1.334 0.770 14.938
Os 1.334 0.770 21.126
```

* DFT formation energy: 19.3 kJ per mole of atoms
* N(E_F): 3.67 states/eV/f.u.

(5)
Compound: MoRuCl2
Source: Alexandria via LeMat-Bulk
Functional: GGA-PBE
Structure: relaxed

Geometry as extended XYZ:
```
4
Lattice="3.096 0.000 0.000 0.000 3.096 0.000 0.000 0.000 6.239" Properties=species:S:1:pos:R:3 pbc="T T T"
Mo 0.000 0.000 0.000
Ru 0.000 0.000 3.120
Cl 1.548 1.548 1.507
Cl 1.548 1.548 4.732
```

* formation energy from raw total energies: 335 kJ/mol of formula units
* N(E_F): 3.70 states/eV/f.u.

(6)
Compound: Ba13Si6Sn8As22
Source: Alexandria via LeMat-Bulk
Functional: GGA-PBE
Structure: relaxed

Geometry as extended XYZ:
```
49
Lattice="-7.327 7.327 6.928 7.327 -7.327 6.928 7.327 7.327 -6.928" Properties=species:S:1:pos:R:3 pbc="T T T"
Ba 0.000 0.000 0.000
Ba 5.486 1.934 -1.169
Ba 2.455 -2.455 4.557
Ba 9.169 1.934 1.169
Ba 1.934 5.486 -1.169
Ba 5.394 -1.841 8.098
Ba -2.455 2.455 4.557
Ba 4.873 4.873 2.371
Ba 5.394 1.841 5.759
Ba 1.934 9.169 1.169
Ba 1.841 5.394 5.759
Ba 2.455 2.455 9.300
Ba -1.841 5.394 8.098
Si 7.327 0.000 3.464
Si 6.094 6.094 -1.377
Si 1.234 1.234 5.551
Si 1.234 -1.234 8.305
Si -1.234 1.234 8.305
Si 0.000 7.327 3.464
Sn 6.602 -4.003 4.602
Sn 11.330 -0.725 2.326
Sn 3.325 0.725 2.326
Sn 0.725 3.325 2.326
Sn 8.053 4.003 4.602
Sn -4.003 6.602 4.602
Sn 4.003 8.053 4.602
Sn -0.725 11.330 2.326
As 8.681 -1.494 2.160
As 4.702 4.702 -2.724
As 4.854 -4.854 6.558
As 2.473 2.473 0.370
As 5.833 -1.353 4.768
As 5.974 1.494 2.160
As 0.000 0.000 3.937
As 7.327 4.593 0.000
As 8.822 1.353 4.768
As 2.625 2.625 4.205
As 4.593 7.327 0.000
As 2.735 0.000 6.928
As 2.625 -2.625 9.652
As 1.494 5.974 2.160
As 0.000 2.735 6.928
As 0.000 0.000 9.920
As -1.353 5.833 4.768
As -1.494 8.681 2.160
As -4.854 4.854 6.558
As 4.854 4.854 7.299
As -2.625 2.625 9.652
As 1.353 8.822 4.768
```

* formation energy from raw total energies: -3245 kJ/mol of formula units

(7)
Compound: LaDyTc4
Source: Alexandria via LeMat-Bulk
Functional: GGA-PBE
Structure: relaxed

Geometry as extended XYZ:
```
6
Lattice="0.000 3.867 3.867 3.867 0.000 3.867 3.867 3.867 0.000" Properties=species:S:1:pos:R:3 pbc="T T T"
La 0.000 0.000 0.000
Dy 1.934 1.934 1.934
Tc 4.833 2.902 2.902
Tc 2.902 4.833 2.902
Tc 2.902 2.902 4.833
Tc 4.833 4.833 4.833
```

* DFT formation energy: 1.5 kJ per mole of atoms
* N(E_F): 10.05 states/eV/f.u.

(8)
Compound: PuU3N4
Source: Alexandria via LeMat-Bulk
Functional: GGA-PBE
Structure: relaxed

Geometry as extended XYZ:
```
16
Lattice="6.881 0.000 0.000 0.000 9.743 0.000 0.000 0.000 3.450" Properties=species:S:1:pos:R:3 pbc="T T T"
Pu 0.000 0.000 0.000
Pu 3.441 4.872 0.000
U 0.000 4.872 0.000
U 1.720 2.436 1.725
U 1.720 7.307 1.725
U 3.441 0.000 0.000
U 5.161 2.436 1.725
U 5.161 7.307 1.725
N 0.000 2.471 0.000
N 0.000 7.272 0.000
N 1.668 4.872 1.725
N 1.772 0.000 1.725
N 3.441 2.401 0.000
N 3.441 7.342 0.000
N 5.109 0.000 1.725
N 5.213 4.872 1.725
```

* formation energy from raw total energies: -1007 kJ/mol of formula units
* N(E_F): 15.85 states/eV/f.u.

(9)
Compound: YCu2Au
Source: Alexandria via LeMat-Bulk
Functional: GGA-PBE
Structure: relaxed

Geometry as extended XYZ:
```
4
Lattice="3.469 0.000 0.000 0.000 4.501 0.000 0.000 0.000 5.023" Properties=species:S:1:pos:R:3 pbc="T T T"
Y 0.000 0.000 0.000
Cu 1.735 2.251 1.219
Cu 1.735 2.251 3.804
Au 1.735 0.000 2.512
```

* DFT formation energy: -24.2 kJ per mole of atoms
* N(E_F): 1.97 states/eV/f.u.

(10)
Compound: KAcCd2F8
Source: Alexandria via LeMat-Bulk
Functional: GGA-PBE
Structure: relaxed

Geometry as extended XYZ:
```
12
Lattice="-2.901 2.901 5.688 2.901 -2.901 5.688 2.901 2.901 -5.688" Properties=species:S:1:pos:R:3 pbc="T T T"
K 0.000 0.000 0.000
Ac 0.000 2.901 2.844
Cd 2.901 0.000 2.844
Cd 0.000 0.000 5.688
F 1.510 1.580 -1.472
F 1.391 -1.321 4.215
F 1.580 1.510 1.472
F 4.222 1.510 1.472
F 1.510 4.222 -1.472
F 1.391 1.321 4.215
F -1.321 1.391 7.160
F 1.321 1.391 7.160
```

* formation energy from raw total energies: -3405 kJ/mol of formula units
* N(E_F): 0.00 states/eV/f.u.

(11)
Compound: ScSb3N
Source: Alexandria via LeMat-Bulk
Functional: GGA-PBE
Structure: relaxed

Geometry as extended XYZ:
```
5
Lattice="5.466 0.000 0.000 0.000 5.466 0.000 0.000 0.000 5.466" Properties=species:S:1:pos:R:3 pbc="T T T"
Sc 0.000 0.000 0.000
Sb 0.000 0.000 2.733
Sb 0.000 2.733 0.000
Sb 2.733 0.000 0.000
N 2.733 2.733 2.733
```

* formation energy from raw total energies: 554 kJ/mol of formula units
* N(E_F): 2.08 states/eV/f.u.

(12)
Compound: NdHoAu
Source: Alexandria via LeMat-Bulk
Functional: GGA-PBE
Structure: relaxed

Geometry as extended XYZ:
```
3
Lattice="4.921 0.000 0.000 -2.461 4.262 0.000 0.000 0.000 4.000" Properties=species:S:1:pos:R:3 pbc="T T T"
Nd 0.000 0.000 0.000
Ho 0.000 2.841 1.900
Au 2.461 1.421 2.606
```

* DFT formation energy: -38.5 kJ per mole of atoms
* N(E_F): 2.70 states/eV/f.u.

(13)
Compound: Hg2SbAu
Source: Alexandria via LeMat-Bulk
Functional: GGA-PBE
Structure: relaxed

Geometry as extended XYZ:
```
8
Lattice="4.144 0.000 0.000 0.000 5.339 0.000 0.000 0.000 8.633" Properties=species:S:1:pos:R:3 pbc="T T T"
Hg 0.000 0.000 1.965
Hg 0.000 0.000 6.668
Hg 2.072 2.670 1.965
Hg 2.072 2.670 6.668
Sb 0.000 2.670 4.316
Sb 2.072 0.000 4.316
Au 0.000 2.670 0.000
Au 2.072 0.000 0.000
```

* formation energy from raw total energies: 69 kJ/mol of formula units
* N(E_F): 1.47 states/eV/f.u.

(14)
Compound: Li4PuPd5
Source: Alexandria via LeMat-Bulk
Functional: GGA-PBE
Structure: relaxed

Geometry as extended XYZ:
```
10
Lattice="3.078 0.000 0.000 0.000 3.078 0.000 0.000 0.000 15.801" Properties=species:S:1:pos:R:3 pbc="T T T"
Li 0.000 0.000 1.443
Li 0.000 0.000 4.321
Li 0.000 0.000 11.480
Li 0.000 0.000 14.358
Pu 0.000 0.000 7.900
Pd 1.539 1.539 0.000
Pd 1.539 1.539 2.901
Pd 1.539 1.539 5.828
Pd 1.539 1.539 9.973
Pd 1.539 1.539 12.900
```

* DFT formation energy: -40.4 kJ per mole of atoms
* N(E_F): 7.85 states/eV/f.u.

(15)
Compound: Pd7Pt
Source: Alexandria via LeMat-Bulk
Functional: GGA-PBE
Structure: relaxed

Geometry as extended XYZ:
```
8
Lattice="0.000 3.949 3.949 3.949 0.000 3.949 3.949 3.949 0.000" Properties=species:S:1:pos:R:3 pbc="T T T"
Pd 0.000 0.000 0.000
Pd 1.974 1.974 0.000
Pd 1.974 0.000 1.974
Pd 3.949 1.974 1.974
Pd 0.000 1.974 1.974
Pd 1.974 3.949 1.974
Pd 1.974 1.974 3.949
Pt 3.949 3.949 3.949
```

* DFT formation energy: -1.5 kJ per mole of atoms
* N(E_F): 18.08 states/eV/f.u.

(16)
Compound: Ge2AsIr2
Source: Alexandria via LeMat-Bulk
Functional: GGA-PBE
Structure: relaxed

Geometry as extended XYZ:
```
10
Lattice="7.474 0.000 0.000 0.000 7.474 0.000 0.000 0.000 2.867" Properties=species:S:1:pos:R:3 pbc="T T T"
Ge 1.118 2.619 0.000
Ge 2.619 6.356 0.000
Ge 4.855 1.118 0.000
Ge 6.356 4.855 0.000
As 0.000 0.000 1.433
As 3.737 3.737 1.433
Ir 1.085 4.822 1.433
Ir 2.651 1.085 1.433
Ir 4.822 6.388 1.433
Ir 6.388 2.651 1.433
```

* DFT formation energy: -4.4 kJ per mole of atoms
* N(E_F): 2.80 states/eV/f.u.

(17)
Compound: ErScZnIr
Source: Alexandria via LeMat-Bulk
Functional: GGA-PBE
Structure: relaxed

Geometry as extended XYZ:
```
16
Lattice="6.739 0.000 0.000 0.000 6.739 0.000 0.000 0.000 6.739" Properties=species:S:1:pos:R:3 pbc="T T T"
Er 0.000 0.000 0.000
Er 0.000 3.370 3.370
Er 3.370 0.000 3.370
Er 3.370 3.370 0.000
Sc 0.000 0.000 3.370
Sc 0.000 3.370 0.000
Sc 3.370 0.000 0.000
Sc 3.370 3.370 3.370
Zn 1.685 1.685 5.055
Zn 1.685 5.055 1.685
Zn 5.055 1.685 1.685
Zn 5.055 5.055 5.055
Ir 1.685 1.685 1.685
Ir 1.685 5.055 5.055
Ir 5.055 1.685 5.055
Ir 5.055 5.055 1.685
```

* DFT formation energy: -64.9 kJ per mole of atoms
* N(E_F): 2.63 states/eV/f.u.

(18)
Compound: LiSi2Ag
Source: Alexandria via LeMat-Bulk
Functional: GGA-PBE
Structure: relaxed

Geometry as extended XYZ:
```
8
Lattice="3.737 0.000 0.000 0.000 4.189 0.000 0.000 0.000 8.095" Properties=species:S:1:pos:R:3 pbc="T T T"
Li 0.000 0.000 0.000
Li 1.869 2.094 4.048
Si 0.000 0.000 4.360
Si 0.000 2.094 1.942
Si 1.869 0.000 5.990
Si 1.869 2.094 0.312
Ag 0.000 2.094 6.165
Ag 1.869 0.000 2.117
```

* formation energy from raw total energies: 36 kJ/mol of formula units
* N(E_F): 0.88 states/eV/f.u.

(19)
Compound: Pr7In2Ni2
Source: Alexandria via LeMat-Bulk
Functional: GGA-PBE
Structure: relaxed

Geometry as extended XYZ:
```
11
Lattice="4.116 -5.778 0.000 4.116 5.778 0.000 0.000 0.000 7.208" Properties=species:S:1:pos:R:3 pbc="T T T"
Pr 0.000 0.000 0.000
Pr 2.058 2.889 1.791
Pr 2.058 2.889 5.417
Pr 2.058 -2.889 1.791
Pr 2.058 -2.889 5.417
Pr 4.116 0.000 1.710
Pr 4.116 0.000 5.498
In 1.410 0.000 3.604
In 6.821 0.000 3.604
Ni 4.116 2.397 0.000
Ni 4.116 -2.397 0.000
```

* DFT formation energy: -17.8 kJ per mole of atoms
* N(E_F): 11.98 states/eV/f.u.

(20)
Compound: Pr3AgBi
Source: Alexandria via LeMat-Bulk
Functional: GGA-PBE
Structure: relaxed

Geometry as extended XYZ:
```
10
Lattice="4.059 -8.051 0.000 4.059 8.051 0.000 0.000 0.000 5.138" Properties=species:S:1:pos:R:3 pbc="T T T"
Pr 2.029 4.026 2.569
Pr 4.059 5.513 0.000
Pr 2.591 0.000 2.569
Pr 2.029 -4.026 2.569
Pr 5.527 0.000 2.569
Pr 4.059 -5.513 0.000
Ag 4.059 6.691 2.569
Ag 4.059 -6.691 2.569
Bi 4.059 2.184 0.000
Bi 4.059 -2.184 0.000
```

* DFT formation energy: -17.9 kJ per mole of atoms
* N(E_F): 5.86 states/eV/f.u.

(21)
Compound: Zr2HgRu
Source: Alexandria via LeMat-Bulk
Functional: GGA-PBE
Structure: relaxed

Geometry as extended XYZ:
```
16
Lattice="7.639 0.000 0.000 0.000 7.639 0.000 0.000 0.000 5.789" Properties=species:S:1:pos:R:3 pbc="T T T"
Zr 1.580 1.910 0.724
Zr 1.910 5.399 2.171
Zr 1.910 6.060 5.066
Zr 2.240 1.910 3.618
Zr 5.399 5.729 3.618
Zr 5.729 1.580 5.066
Zr 5.729 2.240 2.171
Zr 6.060 5.729 0.724
Hg 0.000 0.000 2.895
Hg 0.000 3.820 4.342
Hg 3.820 0.000 1.447
Hg 3.820 3.820 0.000
Ru 0.000 0.000 0.000
Ru 0.000 3.820 1.447
Ru 3.820 0.000 4.342
Ru 3.820 3.820 2.895
```

* DFT formation energy: 4.1 kJ per mole of atoms
* N(E_F): 0.39 states/eV/f.u.

(22)
Compound: Nd6P2PbBr3
Source: Alexandria via LeMat-Bulk
Functional: GGA-PBE
Structure: relaxed

Geometry as extended XYZ:
```
12
Lattice="9.590 -2.142 0.000 9.590 2.142 0.000 -2.235 0.000 8.529" Properties=species:S:1:pos:R:3 pbc="T T T"
Nd -0.208 0.000 2.212
Nd 5.208 0.000 3.753
Nd 4.418 0.000 7.434
Nd 12.526 0.000 1.095
Nd 11.736 0.000 4.776
Nd 17.152 0.000 6.317
P 2.511 0.000 2.916
P 14.433 0.000 5.613
Pb 9.590 0.000 0.000
Br 1.293 0.000 7.125
Br 8.472 0.000 4.265
Br 15.652 0.000 1.404
```

* formation energy from raw total energies: -1473 kJ/mol of formula units
* N(E_F): 6.05 states/eV/f.u.